Entry 1:
VASP calculation (PBEsol) on an optimized crystal structure of MnSb2Os.

CIF file:
```
data_MnSb2Os
_cell_length_a 3.0801
_cell_length_b 3.0801
_cell_length_c 29.5418
_cell_angle_alpha 90.00
_cell_angle_beta 90.00
_cell_angle_gamma 120.00
_space_group_name_H-M_alt 'R 3 m'
_space_group_IT_number 160
_space_group_name_Hall 'R 3 -2"'
loop_
_atom_site_label
_atom_site_type_symbol
_atom_site_fract_x
_atom_site_fract_y
_atom_site_fract_z
Mn1 Mn 0.0000 0.0000 0.0000
Sb1 Sb 0.0000 0.0000 0.2606
Sb2 Sb 0.0000 0.0000 0.4671
Os1 Os 0.0000 0.0000 0.7301
```

Summary:
The electronic total energy is -7.35 eV per atom. The energy above the most stable polymorph in this dataset is 0.72 eV per formula unit.



Entry 2:
VASP calculation (PBEsol) on an optimized crystal structure of MnSb2Os.

CIF file:
```
data_MnSb2Os
_cell_length_a 3.1212
_cell_length_b 3.1212
_cell_length_c 7.8877
_cell_angle_alpha 90.00
_cell_angle_beta 90.00
_cell_angle_gamma 90.00
_space_group_name_H-M_alt 'P 4 m m'
_space_group_IT_number 99
loop_
_space_group_symop_operation_xyz
'x,y,z'
'-y,x,z'
'-x,-y,z'
'y,-x,z'
'-x,y,z'
'y,x,z'
'x,-y,z'
'-y,-x,z'
loop_
_atom_site_label
_atom_site_type_symbol
_atom_site_fract_x
_atom_site_fract_y
_atom_site_fract_z
Mn1 Mn 0.0000 0.0000 0.0000
Sb1 Sb 0.0000 0.0000 0.3968
Sb2 Sb 0.5000 0.5000 0.7894
Os1 Os 0.5000 0.5000 0.1860
```

Summary:
The electronic total energy is -7.53 eV per atom. The energy above the most stable polymorph in this dataset is 0.00 eV per formula unit.



Entry 3:
VASP calculation (PBEsol) on an optimized crystal structure of Mn2SbOs.

CIF file:
```
data_Mn2SbOs
_cell_length_a 8.5379
_cell_length_b 2.9637
_cell_length_c 4.6407
_cell_angle_alpha 90.00
_cell_angle_beta 101.40
_cell_angle_gamma 90.00
_space_group_name_H-M_alt 'C 1 m 1'
_space_group_IT_number 8
loop_
_space_group_symop_operation_xyz
'x,y,z'
'x,-y,z'
'x+1/2,y+1/2,z'
'x+1/2,-y+1/2,z'
loop_
_atom_site_label
_atom_site_type_symbol
_atom_site_fract_x
_atom_site_fract_y
_atom_site_fract_z
Mn1 Mn 0.0000 0.0000 0.0000
Mn2 Mn 0.2440 0.5000 0.2315
Sb1 Sb 0.4992 0.0000 0.4860
Os1 Os 0.2588 0.0000 0.7931
```

Summary:
The electronic total energy is -8.74 eV per atom.



Entry 4:
VASP calculation (PBEsol) on an optimized crystal structure of MnSbOs2.

CIF file:
```
data_MnSbOs2
_cell_length_a 2.9298
_cell_length_b 4.7570
_cell_length_c 9.1106
_cell_angle_alpha 90.00
_cell_angle_beta 90.00
_cell_angle_gamma 90.00
_space_group_name_H-M_alt 'C m m m'
_space_group_IT_number 65
_space_group_name_Hall '-C 2 2'
loop_
_atom_site_label
_atom_site_type_symbol
_atom_site_fract_x
_atom_site_fract_y
_atom_site_fract_z
Mn1 Mn 0.0000 0.0000 0.0000
Sb1 Sb 0.0000 0.0000 0.5000
Os1 Os 0.0000 0.5000 0.2187
```

Summary:
The electronic total energy is -8.87 eV per atom.



Entry 5:
VASP calculation (PBEsol) on an optimized crystal structure of MnSbOs3.

CIF file:
```
data_MnSbOs3
_cell_length_a 4.4305
_cell_length_b 4.4305
_cell_length_c 4.4305
_cell_angle_alpha 90.00
_cell_angle_beta 90.00
_cell_angle_gamma 90.00
_space_group_name_H-M_alt 'P m -3 m'
_space_group_IT_number 221
_space_group_name_Hall '-P 4 2 3'
loop_
_atom_site_label
_atom_site_type_symbol
_atom_site_fract_x
_atom_site_fract_y
_atom_site_fract_z
Mn1 Mn 0.0000 0.0000 0.0000
Sb1 Sb 0.5000 0.5000 0.5000
Os1 Os 0.0000 0.0000 0.5000
```

Summary:
The electronic total energy is -8.57 eV per atom. The energy above the most stable polymorph in this dataset is 0.00 eV per formula unit.



Entry 6:
VASP calculation (PBEsol) on an optimized crystal structure of MnSbOs2.

CIF file:
```
data_MnSbOs2
_cell_length_a 2.8606
_cell_length_b 2.8606
_cell_length_c 25.1770
_cell_angle_alpha 90.00
_cell_angle_beta 90.00
_cell_angle_gamma 120.00
_space_group_name_H-M_alt 'R 3 m'
_space_group_IT_number 160
_space_group_name_Hall 'R 3 -2"'
loop_
_atom_site_label
_atom_site_type_symbol
_atom_site_fract_x
_atom_site_fract_y
_atom_site_fract_z
Mn1 Mn 0.0000 0.0000 0.0000
Sb1 Sb 0.0000 0.0000 0.7488
Os1 Os 0.0000 0.0000 0.2552
Os2 Os 0.0000 0.0000 0.5047
```

Summary:
The electronic total energy is -9.13 eV per atom.



Entry 7:
VASP calculation (PBEsol) on an optimized crystal structure of Sc2MnOs.

CIF file:
```
data_Sc2MnOs
_cell_length_a 6.4082
_cell_length_b 6.4082
_cell_length_c 6.4082
_cell_angle_alpha 90.00
_cell_angle_beta 90.00
_cell_angle_gamma 90.00
_space_group_name_H-M_alt 'F m -3 m'
_space_group_IT_number 225
_space_group_name_Hall '-F 4 2 3'
loop_
_atom_site_label
_atom_site_type_symbol
_atom_site_fract_x
_atom_site_fract_y
_atom_site_fract_z
Sc1 Sc 0.2500 0.2500 0.2500
Mn1 Mn 0.0000 0.0000 0.0000
Os1 Os 0.0000 0.0000 0.5000
```

Summary:
The electronic total energy is -8.93 eV per atom. The energy above the most stable polymorph in this dataset is 0.00 eV per formula unit. The energy of formation is -129 meV per atom.



Entry 8:
VASP calculation (PBEsol) on an optimized crystal structure of Sc2MnOs.

CIF file:
```
data_Sc2MnOs
_cell_length_a 6.2442
_cell_length_b 6.2442
_cell_length_c 6.2442
_cell_angle_alpha 90.00
_cell_angle_beta 90.00
_cell_angle_gamma 90.00
_space_group_name_H-M_alt 'F -4 3 m'
_space_group_IT_number 216
_space_group_name_Hall 'F -4 2 3'
loop_
_atom_site_label
_atom_site_type_symbol
_atom_site_fract_x
_atom_site_fract_y
_atom_site_fract_z
Sc1 Sc 0.0000 0.0000 0.0000
Sc2 Sc 0.2500 0.2500 0.2500
Mn1 Mn 0.2500 0.2500 0.7500
Os1 Os 0.0000 0.0000 0.5000
```

Summary:
The electronic total energy is -8.74 eV per atom. The energy above the most stable polymorph in this dataset is 0.74 eV per formula unit. The energy of formation is 56 meV per atom.



Entry 9:
VASP calculation (PBEsol) on an optimized crystal structure of ScMn2Os.

CIF file:
```
data_ScMn2Os
_cell_length_a 2.9669
_cell_length_b 2.9669
_cell_length_c 6.2299
_cell_angle_alpha 90.00
_cell_angle_beta 90.00
_cell_angle_gamma 90.00
_space_group_name_H-M_alt 'P 4 m m'
_space_group_IT_number 99
loop_
_space_group_symop_operation_xyz
'x,y,z'
'-y,x,z'
'-x,-y,z'
'y,-x,z'
'-x,y,z'
'y,x,z'
'x,-y,z'
'-y,-x,z'
loop_
_atom_site_label
_atom_site_type_symbol
_atom_site_fract_x
_atom_site_fract_y
_atom_site_fract_z
Sc1 Sc 0.0000 0.0000 0.0000
Mn1 Mn 0.0000 0.0000 0.4758
Mn2 Mn 0.5000 0.5000 0.2793
Os1 Os 0.5000 0.5000 0.7095
```

Summary:
The electronic total energy is -9.51 eV per atom. The energy of formation is 73 meV per atom.



Entry 10:
VASP calculation (PBEsol) on an optimized crystal structure of ScMnOs.

CIF file:
```
data_ScMnOs
_cell_length_a 5.7732
_cell_length_b 5.7732
_cell_length_c 5.7732
_cell_angle_alpha 90.00
_cell_angle_beta 90.00
_cell_angle_gamma 90.00
_space_group_name_H-M_alt 'F -4 3 m'
_space_group_IT_number 216
_space_group_name_Hall 'F -4 2 3'
loop_
_atom_site_label
_atom_site_type_symbol
_atom_site_fract_x
_atom_site_fract_y
_atom_site_fract_z
Sc1 Sc 0.0000 0.0000 0.0000
Mn1 Mn 0.2500 0.2500 0.7500
Os1 Os 0.0000 0.0000 0.5000
```

Summary:
The electronic total energy is -9.23 eV per atom. The energy of formation is 297 meV per atom.



Entry 11:
VASP calculation (PBEsol) on an optimized crystal structure of MnOsSe2.

CIF file:
```
data_MnOsSe2
_cell_length_a 5.4345
_cell_length_b 6.0794
_cell_length_c 7.9756
_cell_angle_alpha 90.00
_cell_angle_beta 90.00
_cell_angle_gamma 90.00
_space_group_name_H-M_alt 'F m m m'
_space_group_IT_number 69
_space_group_name_Hall '-F 2 2'
loop_
_atom_site_label
_atom_site_type_symbol
_atom_site_fract_x
_atom_site_fract_y
_atom_site_fract_z
Mn1 Mn 0.0000 0.0000 0.0000
Os1 Os 0.0000 0.0000 0.5000
Se1 Se 0.0000 0.2500 0.2500
```

Summary:
The electronic total energy is -6.82 eV per atom. The energy above the most stable polymorph in this dataset is 0.97 eV per formula unit.



Entry 12:
VASP calculation (PBEsol) on an optimized crystal structure of MnOsSe3.

CIF file:
```
data_MnOsSe3
_cell_length_a 4.4898
_cell_length_b 4.4898
_cell_length_c 4.4898
_cell_angle_alpha 90.00
_cell_angle_beta 90.00
_cell_angle_gamma 90.00
_space_group_name_H-M_alt 'P m -3 m'
_space_group_IT_number 221
_space_group_name_Hall '-P 4 2 3'
loop_
_atom_site_label
_atom_site_type_symbol
_atom_site_fract_x
_atom_site_fract_y
_atom_site_fract_z
Mn1 Mn 0.0000 0.0000 0.0000
Os1 Os 0.5000 0.5000 0.5000
Se1 Se 0.0000 0.0000 0.5000
```

Summary:
The electronic total energy is -5.57 eV per atom.



Entry 13:
VASP calculation (PBEsol) on an optimized crystal structure of Mn2OsSe.

CIF file:
```
data_Mn2OsSe
_cell_length_a 2.9560
_cell_length_b 4.1672
_cell_length_c 4.3378
_cell_angle_alpha 90.00
_cell_angle_beta 90.00
_cell_angle_gamma 90.00
_space_group_name_H-M_alt 'P m m m'
_space_group_IT_number 47
loop_
_space_group_symop_operation_xyz
'x,y,z'
'-x,-y,-z'
'-x,-y,z'
'x,y,-z'
'x,-y,-z'
'-x,y,z'
'-x,y,-z'
'x,-y,z'
loop_
_atom_site_label
_atom_site_type_symbol
_atom_site_fract_x
_atom_site_fract_y
_atom_site_fract_z
Mn1 Mn 0.0000 0.0000 0.0000
Mn2 Mn 0.5000 0.0000 0.5000
Os1 Os 0.0000 0.5000 0.5000
Se1 Se 0.5000 0.5000 0.0000
```

Summary:
The electronic total energy is -8.50 eV per atom.



Entry 14:
VASP calculation (PBEsol) on an optimized crystal structure of MnOsSe2.

CIF file:
```
data_MnOsSe2
_cell_length_a 2.9510
_cell_length_b 2.9510
_cell_length_c 22.3770
_cell_angle_alpha 90.00
_cell_angle_beta 90.00
_cell_angle_gamma 120.00
_space_group_name_H-M_alt 'R -3 m'
_space_group_IT_number 166
_space_group_name_Hall '-R 3 2"'
loop_
_atom_site_label
_atom_site_type_symbol
_atom_site_fract_x
_atom_site_fract_y
_atom_site_fract_z
Mn1 Mn 0.0000 0.0000 0.0000
Os1 Os 0.0000 0.0000 0.5000
Se1 Se 0.0000 0.0000 0.2562
```

Summary:
The electronic total energy is -7.06 eV per atom. The energy above the most stable polymorph in this dataset is 0.00 eV per formula unit.



Entry 15:
VASP calculation (PBEsol) on an optimized crystal structure of MnOs2Se.

CIF file:
```
data_MnOs2Se
_cell_length_a 5.2399
_cell_length_b 9.0089
_cell_length_c 2.7998
_cell_angle_alpha 90.00
_cell_angle_beta 119.46
_cell_angle_gamma 90.00
_space_group_name_H-M_alt 'C 1 2/m 1'
_space_group_IT_number 12
loop_
_space_group_symop_operation_xyz
'x,y,z'
'-x,-y,-z'
'-x,y,-z'
'x,-y,z'
'x+1/2,y+1/2,z'
'-x+1/2,-y+1/2,-z'
'-x+1/2,y+1/2,-z'
'x+1/2,-y+1/2,z'
loop_
_atom_site_label
_atom_site_type_symbol
_atom_site_fract_x
_atom_site_fract_y
_atom_site_fract_z
Mn1 Mn 0.0000 0.0000 0.0000
Os1 Os 0.2500 0.2500 0.5000
Se1 Se 0.0000 0.5000 0.0000
```

Summary:
The electronic total energy is -8.86 eV per atom.



Entry 16:
VASP calculation (PBEsol) on an optimized crystal structure of MnOs2Se.

CIF file:
```
data_MnOs2Se
_cell_length_a 2.7765
_cell_length_b 4.6373
_cell_length_c 9.0677
_cell_angle_alpha 90.00
_cell_angle_beta 90.00
_cell_angle_gamma 90.00
_space_group_name_H-M_alt 'C m m m'
_space_group_IT_number 65
_space_group_name_Hall '-C 2 2'
loop_
_atom_site_label
_atom_site_type_symbol
_atom_site_fract_x
_atom_site_fract_y
_atom_site_fract_z
Mn1 Mn 0.0000 0.0000 0.0000
Os1 Os 0.0000 0.5000 0.2266
Se1 Se 0.0000 0.0000 0.5000
```

Summary:
The electronic total energy is -8.81 eV per atom.



Entry 17:
VASP calculation (PBEsol) on an optimized crystal structure of Mn2OsSe.

CIF file:
```
data_Mn2OsSe
_cell_length_a 2.8992
_cell_length_b 4.5018
_cell_length_c 8.7006
_cell_angle_alpha 90.00
_cell_angle_beta 90.00
_cell_angle_gamma 90.00
_space_group_name_H-M_alt 'C m m 2'
_space_group_IT_number 35
loop_
_space_group_symop_operation_xyz
'x,y,z'
'-x,-y,z'
'-x,y,z'
'x,-y,z'
'x+1/2,y+1/2,z'
'-x+1/2,-y+1/2,z'
'-x+1/2,y+1/2,z'
'x+1/2,-y+1/2,z'
loop_
_atom_site_label
_atom_site_type_symbol
_atom_site_fract_x
_atom_site_fract_y
_atom_site_fract_z
Mn1 Mn 0.0000 0.0000 0.0000
Mn2 Mn 0.0000 0.5000 0.2306
Os1 Os 0.0000 0.0000 0.4555
Se1 Se 0.0000 0.5000 0.7778
```

Summary:
The electronic total energy is -8.31 eV per atom.



Entry 18:
VASP calculation (PBEsol) on an optimized crystal structure of MnOsSe2.

CIF file:
```
data_MnOsSe2
_cell_length_a 4.3215
_cell_length_b 3.8019
_cell_length_c 4.5337
_cell_angle_alpha 90.00
_cell_angle_beta 103.74
_cell_angle_gamma 90.00
_space_group_name_H-M_alt 'P 1 2/m 1'
_space_group_IT_number 10
loop_
_space_group_symop_operation_xyz
'x,y,z'
'-x,-y,-z'
'-x,y,-z'
'x,-y,z'
loop_
_atom_site_label
_atom_site_type_symbol
_atom_site_fract_x
_atom_site_fract_y
_atom_site_fract_z
Mn1 Mn 0.0000 0.0000 0.0000
Os1 Os 0.5000 0.0000 0.5000
Se1 Se 0.2943 0.5000 0.7315
```

Summary:
The electronic total energy is -6.92 eV per atom. The energy above the most stable polymorph in this dataset is 0.58 eV per formula unit.



Entry 19:
VASP calculation (PBEsol) on an optimized crystal structure of Mn2SiOs.

CIF file:
```
data_Mn2SiOs
_cell_length_a 2.8930
_cell_length_b 4.0206
_cell_length_c 4.1102
_cell_angle_alpha 90.00
_cell_angle_beta 90.00
_cell_angle_gamma 90.00
_space_group_name_H-M_alt 'P m m m'
_space_group_IT_number 47
loop_
_space_group_symop_operation_xyz
'x,y,z'
'-x,-y,-z'
'-x,-y,z'
'x,y,-z'
'x,-y,-z'
'-x,y,z'
'-x,y,-z'
'x,-y,z'
loop_
_atom_site_label
_atom_site_type_symbol
_atom_site_fract_x
_atom_site_fract_y
_atom_site_fract_z
Mn1 Mn 0.0000 0.0000 0.0000
Mn2 Mn 0.5000 0.5000 0.0000
Si1 Si 0.0000 0.5000 0.5000
Os1 Os 0.5000 0.0000 0.5000
```

Summary:
The electronic total energy is -9.59 eV per atom.



Entry 20:
VASP calculation (PBEsol) on an optimized crystal structure of MnSi2Os.

CIF file:
```
data_MnSi2Os
_cell_length_a 5.9065
_cell_length_b 5.9065
_cell_length_c 5.9065
_cell_angle_alpha 90.00
_cell_angle_beta 90.00
_cell_angle_gamma 90.00
_space_group_name_H-M_alt 'F -4 3 m'
_space_group_IT_number 216
_space_group_name_Hall 'F -4 2 3'
loop_
_atom_site_label
_atom_site_type_symbol
_atom_site_fract_x
_atom_site_fract_y
_atom_site_fract_z
Mn1 Mn 0.0000 0.0000 0.0000
Si1 Si 0.0000 0.0000 0.5000
Si2 Si 0.2500 0.2500 0.7500
Os1 Os 0.2500 0.2500 0.2500
```

Summary:
The electronic total energy is -8.21 eV per atom.